# 1
Here is a geometry-optimized RbSiPdCl2 structure from Alexandria via LeMat-Bulk. Energies are from GGA-PBE.

The space group is P4/mmm (No. 123) and the conventional cell measures 5.7805, 5.7805 and 5.2978 Å, with angles of 90.00, 90.00 and 90.00 degrees. The distinct sites, in fractional coordinates, are Rb at (0.0000, 0.0000, 0.0000), Si at (0.5000, 0.5000, 0.5000), Pd at (0.0000, 0.0000, 0.5000) and Cl at (0.0000, 0.5000, 0.0000).

# 2
Here is a geometry-optimized Cs3TeS structure from Alexandria via LeMat-Bulk. Energies are from GGA-PBE.

The calculation puts the distance to the lowest polymorph of the same formula at 0 meV/atom.

The space group is Pm-3m (No. 221) and the conventional cell measures 6.6079, 6.6079 and 6.6079 Å, with angles of 90.00, 90.00 and 90.00 degrees. The distinct sites, in fractional coordinates, are Cs at (0.0000, 0.0000, 0.5000), Te at (0.5000, 0.5000, 0.5000) and S at (0.0000, 0.0000, 0.0000).

For reference, V by record: 35.4 57.7 Å³ per atom.
For reference, DFT total energy by record: -11.90 -13.55 eV/cell.